(one)
! HgMoCl, relaxed, DFT PBE-GGA; values from VASP
! SG ... Fmm2, No. 42
&SYSTEM
  ibrav = 0, nat = 3, ntyp = 3
/
ATOMIC_SPECIES
Cl 35.45 Cl.upf
Hg 200.59 Hg.upf
Mo 95.94 Mo.upf
CELL_PARAMETERS angstrom
8.5182 0.0144 -0.0083
7.6029 3.0403 -0.0179
0.9153 -1.5366 2.6067
ATOMIC_POSITIONS crystal
Cl 0.0379 0.0379 0.9621
Hg 0.3081 0.3081 0.6919
Mo 0.6540 0.6540 0.3460

(two)
! HgMoCl, relaxed, DFT PBE-GGA; values from VASP
! SG ... P3m1, No. 156
&SYSTEM
  ibrav = 0, nat = 3, ntyp = 3
/
ATOMIC_SPECIES
Cl 35.45 Cl.upf
Mo 95.94 Mo.upf
Hg 200.59 Hg.upf
CELL_PARAMETERS angstrom
3.0957 0.0000 0.0000
-1.5478 2.6809 0.0000
0.0000 0.0000 8.0286
ATOMIC_POSITIONS crystal
Cl 0.0000 0.0000 0.8994
Mo 0.3333 0.6667 0.6995
Hg 0.6667 0.3333 0.4010

(three)
! HgMoCl, relaxed, DFT PBE-GGA; values from VASP
! SG ... I4mm, No. 107
&SYSTEM
  ibrav = 0, nat = 3, ntyp = 3
/
ATOMIC_SPECIES
Cl 35.45 Cl.upf
Hg 200.59 Hg.upf
Mo 95.94 Mo.upf
CELL_PARAMETERS angstrom
7.1746 0.0017 0.0000
5.9017 4.0797 0.0000
-6.5381 -2.0407 2.1360
ATOMIC_POSITIONS crystal
Cl 0.0491 0.0491 0.0000
Hg 0.3009 0.3009 0.0000
Mo 0.6500 0.6500 0.0000

(four)
! HgMoCl, relaxed, DFT PBE-GGA; values from VASP
! SG ... F-43m, No. 216
&SYSTEM
  ibrav = 0, nat = 3, ntyp = 3
/
ATOMIC_SPECIES
Hg 200.59 Hg.upf
Cl 35.45 Cl.upf
Mo 95.94 Mo.upf
CELL_PARAMETERS angstrom
4.9143 0.0000 0.0000
2.4572 4.2559 0.0000
2.4572 1.4186 4.0125
ATOMIC_POSITIONS crystal
Hg 0.0000 0.0000 0.0000
Cl 0.7500 0.7500 0.7500
Mo 0.5000 0.5000 0.5000

(two) is preferred energetically. Next in line: 0.198 eV/atom higher.

(one)
! HgMoCl, relaxed, DFT PBE-GGA; values from VASP
! SG ... P-6m2, No. 187
&SYSTEM
  ibrav = 0, nat = 3, ntyp = 3
/
ATOMIC_SPECIES
Cl 35.45 Cl.upf
Hg 200.59 Hg.upf
Mo 95.94 Mo.upf
CELL_PARAMETERS angstrom
4.5298 0.0000 0.0000
-2.2649 3.9229 0.0000
0.0000 0.0000 3.4541
ATOMIC_POSITIONS crystal
Cl 0.0000 0.0000 0.8333
Hg 0.6667 0.3333 0.3332
Mo 0.3333 0.6667 0.8335

(two)
! HgMoCl, relaxed, DFT PBE-GGA; values from VASP
! SG ... F-43m, No. 216
&SYSTEM
  ibrav = 0, nat = 3, ntyp = 3
/
ATOMIC_SPECIES
Cl 35.45 Cl.upf
Mo 95.94 Mo.upf
Hg 200.59 Hg.upf
CELL_PARAMETERS angstrom
4.8554 0.0000 0.0000
2.4277 4.2049 0.0000
2.4277 1.4016 3.9644
ATOMIC_POSITIONS crystal
Cl 0.0000 0.0000 0.0000
Mo 0.7500 0.7500 0.7500
Hg 0.5000 0.5000 0.5000

(three)
! HgMoCl, relaxed, DFT PBE-GGA; values from VASP
! SG ... F-43m, No. 216
&SYSTEM
  ibrav = 0, nat = 3, ntyp = 3
/
ATOMIC_SPECIES
Mo 95.94 Mo.upf
Cl 35.45 Cl.upf
Hg 200.59 Hg.upf
CELL_PARAMETERS angstrom
4.9652 0.0000 0.0000
2.4826 4.3000 0.0000
2.4826 1.4333 4.0541
ATOMIC_POSITIONS crystal
Mo 0.0000 0.0000 0.0000
Cl 0.5000 0.5000 0.5000
Hg 0.7500 0.7500 0.7500

(one) is preferred energetically. Next in line: 0.101 eV/atom higher.

(one)
! HgMoCl4, relaxed, DFT PBE-GGA; values from VASP
! SG ... C2/c, No. 15
&SYSTEM
  ibrav = 0, nat = 12, ntyp = 3
/
ATOMIC_SPECIES
Cl 35.45 Cl.upf
Mo 95.94 Mo.upf
Hg 200.59 Hg.upf
CELL_PARAMETERS angstrom
-1.5850 -2.7178 6.4610
-2.7998 -6.5416 1.0056
10.3551 -7.6075 3.0263
ATOMIC_POSITIONS crystal
Cl 0.9907 0.2136 0.8250
Cl 0.8351 0.3835 0.1263
Mo 0.0788 0.9212 0.7500
Cl 0.7864 0.0093 0.6750
Cl 0.1649 0.6165 0.8737
Hg 0.5000 0.0000 0.0000
Cl 0.2136 0.9907 0.3250
Cl 0.6165 0.1649 0.3737
Hg 0.0000 0.5000 0.5000
Cl 0.0093 0.7864 0.1750
Cl 0.3835 0.8351 0.6263
Mo 0.9212 0.0788 0.2500

(two)
! HgMoCl4, relaxed, DFT PBE-GGA; values from VASP
! SG ... F-43m, No. 216
&SYSTEM
  ibrav = 0, nat = 6, ntyp = 3
/
ATOMIC_SPECIES
Cl 35.45 Cl.upf
Mo 95.94 Mo.upf
Hg 200.59 Hg.upf
CELL_PARAMETERS angstrom
2.7685 -5.2067 -0.0689
-2.6301 -4.7066 -2.3895
1.9833 -2.2179 -5.0918
ATOMIC_POSITIONS crystal
Cl 0.3747 0.3747 0.3747
Cl 0.8759 0.3747 0.3747
Cl 0.3747 0.8759 0.3747
Cl 0.3747 0.3747 0.8759
Mo 0.0000 0.0000 0.0000
Hg 0.7500 0.7500 0.7500

(one) is preferred energetically. Next in line: 1.476 eV/atom higher.